{
  "formula": "TmMg4Pd2",
  "functional": "PBE-GGA",
  "state": "relaxed",
  "sg": "P4_2/mnm",
  "n_ef_per_ev_cell": 7.17,
  "e_form_kj_per_mol_atoms": -48,
  "lattice_angstrom": [[3.610, 0.000, 0.000], [0.000, 8.986, 0.000], [0.000, 0.000, 8.986]],
  "species": ["Tm", "Pd", "Tm", "Mg", "Pd", "Mg", "Pd", "Mg", "Mg", "Pd", "Mg", "Mg", "Mg", "Mg"],
  "frac_coords": [[0.500, 0.000, 0.000], [0.500, 0.678, 0.678], [0.000, 0.500, 0.500], [0.000, 0.091, 0.325], [0.500, 0.322, 0.322], [0.500, 0.175, 0.591], [0.000, 0.822, 0.178], [0.000, 0.675, 0.909], [0.000, 0.325, 0.091], [0.000, 0.178, 0.822], [0.500, 0.825, 0.409], [0.500, 0.409, 0.825], [0.000, 0.909, 0.675], [0.500, 0.591, 0.175]]
}

---

{
  "formula": "Ce3AuO",
  "functional": "PBE-GGA",
  "state": "relaxed",
  "sg": "Pm-3m",
  "n_ef_per_ev_cell": 11.65,
  "formation_energy_uncorrected_ev_per_atom": -1.28,
  "lattice_angstrom": [[-4.297, 1.683, -1.408], [-2.095, -4.069, 1.527], [-0.655, 1.971, 4.355]],
  "species": ["Au", "O", "Ce", "Ce", "Ce"],
  "frac_coords": [[0.500, 0.500, 0.500], [0.000, 0.000, 0.000], [0.000, 0.000, 0.500], [0.000, 0.500, 0.000], [0.500, 0.000, 0.000]]
}

---

{
  "formula": "NaTa2Tl",
  "functional": "PBE-GGA",
  "state": "relaxed",
  "sg": "I-42d",
  "n_ef_per_ev_cell": 4.25,
  "relative_energy_ev_per_atom": 0.141,
  "e_form_kj_per_mol_atoms": 123,
  "lattice_angstrom": [[-5.988, 3.589, -3.976], [1.597, -4.496, -6.464], [-3.926, -2.351, -4.328]],
  "species": ["Tl", "Ta", "Ta", "Na", "Tl", "Ta", "Na", "Ta"],
  "frac_coords": [[0.750, 0.250, 0.500], [0.375, 0.365, 0.750], [0.115, 0.625, 0.250], [0.500, 0.500, 0.000], [0.000, 0.000, 0.000], [0.635, 0.125, 0.250], [0.250, 0.750, 0.500], [0.875, 0.885, 0.750]]
}

---

{
  "formula": "Ni3Br",
  "functional": "PBE-GGA",
  "state": "relaxed",
  "sg": "P4/mmm",
  "n_ef_per_ev_cell": 4.11,
  "formation_energy_uncorrected_ev_per_atom": 0.45,
  "relative_energy_ev_per_atom": 0.147,
  "lattice_angstrom": [[3.093, -0.012, 0.000], [0.011, 3.093, 0.000], [0.000, 0.000, 5.878]],
  "species": ["Ni", "Br", "Ni", "Ni"],
  "frac_coords": [[0.500, 0.500, 0.295], [0.000, 0.000, 0.000], [0.000, 0.000, 0.500], [0.500, 0.500, 0.705]]
}

---

The following total magnetic moment values (in μB/f.u.) correspond, in order, to the records above: 0.00, 2.29, 0.00, 2.36.